1.
# PBE-GGA CaLa3S, relaxed
data_CaLa3S
_space_group_name_H-M_alt 'P 1'
_space_group_IT_number 1
_space_group_name_Hall 'P 1'
_cell_length_a 5.660
_cell_length_b 5.660
_cell_length_c 5.660
_cell_angle_alpha 90.00
_cell_angle_beta 90.00
_cell_angle_gamma 90.00
loop_
_atom_site_label
_atom_site_type_symbol
_atom_site_fract_x
_atom_site_fract_y
_atom_site_fract_z
S1 S 0.000 0.000 0.000
La1 La 0.000 0.500 0.000
La2 La 0.500 0.000 0.000
Ca1 Ca 0.500 0.500 0.500
La3 La 0.000 0.000 0.500
# * raw formation energy: -757 meV/atom
# * polymorph energy (0 for the lowest one): 0.0 kJ/mol of atoms
# * SG: Pm-3m (221)

2.
# PBE-GGA Ge3BiF, relaxed
data_Ge3BiF
_space_group_name_H-M_alt 'P 1'
_space_group_IT_number 1
_space_group_name_Hall 'P 1'
_cell_length_a 5.621
_cell_length_b 5.621
_cell_length_c 5.621
_cell_angle_alpha 90.00
_cell_angle_beta 90.00
_cell_angle_gamma 90.00
loop_
_atom_site_label
_atom_site_type_symbol
_atom_site_fract_x
_atom_site_fract_y
_atom_site_fract_z
F1 F 0.500 0.500 0.500
Ge1 Ge 0.000 0.000 0.500
Ge2 Ge 0.500 0.000 0.000
Bi1 Bi 0.000 0.000 0.000
Ge3 Ge 0.000 0.500 0.000
# * raw formation energy: 803 meV/atom
# * polymorph energy (0 for the lowest one): 82.2 kJ/mol of atoms
# * SG: Pm-3m (221)